one) ScAuCl2: single point on PBEsol structure, SCAN.

The structure in CIF format:
```
data_ScAuCl2
_chemical_formula_sum 'Sc1 Au1 Cl2'
_space_group_name_H-M_alt 'P 4/m m m'
_space_group_IT_number 123
_space_group_name_Hall '-P 4 2'
_cell_length_a 4.306
_cell_length_b 4.306
_cell_length_c 3.962
_cell_angle_alpha 90.00
_cell_angle_beta 90.00
_cell_angle_gamma 90.00
loop_
_atom_site_label
_atom_site_fract_x
_atom_site_fract_y
_atom_site_fract_z
Sc1 0.000 0.000 0.000
Au1 0.500 0.500 0.000
Cl1 0.000 0.500 0.500
```

---

two) ScAuCl2: single point on PBEsol structure, SCAN.

The structure in CIF format:
```
data_ScAuCl2
_chemical_formula_sum 'Sc2 Au2 Cl4'
_space_group_name_H-M_alt 'C m m m'
_space_group_IT_number 65
_space_group_name_Hall '-C 2 2'
_cell_length_a 5.381
_cell_length_b 11.513
_cell_length_c 3.485
_cell_angle_alpha 90.00
_cell_angle_beta 90.00
_cell_angle_gamma 90.00
loop_
_atom_site_label
_atom_site_fract_x
_atom_site_fract_y
_atom_site_fract_z
Sc1 0.000 0.000 0.000
Au1 0.000 0.500 0.000
Cl1 0.000 0.150 0.500
```

---

Which one sits at the top of the stability order? two) does.

---

one) Si2AuCl: single point on PBEsol structure, SCAN.

The structure in CIF format:
```
data_Si2AuCl
_chemical_formula_sum 'Si6 Au3 Cl3'
_space_group_name_H-M_alt 'R -3 m'
_space_group_IT_number 166
_space_group_name_Hall '-R 3 2"'
_cell_length_a 3.9939
_cell_length_b 3.9939
_cell_length_c 17.2421
_cell_angle_alpha 90.00
_cell_angle_beta 90.00
_cell_angle_gamma 120.00
loop_
_atom_site_label
_atom_site_fract_x
_atom_site_fract_y
_atom_site_fract_z
Si1 0.0000 0.0000 0.2202
Au1 0.0000 0.0000 0.5000
Cl1 0.0000 0.0000 0.0000
```

---

two) Si2AuCl: single point on PBEsol structure, SCAN.

The structure in CIF format:
```
data_Si2AuCl
_chemical_formula_sum 'Si8 Au4 Cl4'
_space_group_name_H-M_alt 'F m -3 m'
_space_group_IT_number 225
_space_group_name_Hall '-F 4 2 3'
_cell_length_a 6.412
_cell_length_b 6.412
_cell_length_c 6.412
_cell_angle_alpha 90.00
_cell_angle_beta 90.00
_cell_angle_gamma 90.00
loop_
_atom_site_label
_atom_site_fract_x
_atom_site_fract_y
_atom_site_fract_z
Si1 0.250 0.250 0.250
Au1 0.000 0.000 0.000
Cl1 0.000 0.000 0.500
```

---

Which one sits at the top of the stability order? one) does.

---

one) SrAu2Cl: single point on PBEsol structure, SCAN.

The structure in CIF format:
```
data_SrAu2Cl
_chemical_formula_sum 'Sr2 Au4 Cl2'
_space_group_name_H-M_alt 'C m m m'
_space_group_IT_number 65
_space_group_name_Hall '-C 2 2'
_cell_length_a 5.568
_cell_length_b 5.631
_cell_length_c 5.830
_cell_angle_alpha 90.00
_cell_angle_beta 90.00
_cell_angle_gamma 90.00
loop_
_atom_site_label
_atom_site_fract_x
_atom_site_fract_y
_atom_site_fract_z
Sr1 0.000 0.000 0.000
Au1 0.000 0.250 0.500
Cl1 0.000 0.500 0.000
```

---

two) SrAu2Cl: single point on PBEsol structure, SCAN.

The structure in CIF format:
```
data_SrAu2Cl
_chemical_formula_sum 'Sr4 Au8 Cl4'
_space_group_name_H-M_alt 'F -4 3 m'
_space_group_IT_number 216
_space_group_name_Hall 'F -4 2 3'
_cell_length_a 7.070
_cell_length_b 7.070
_cell_length_c 7.070
_cell_angle_alpha 90.00
_cell_angle_beta 90.00
_cell_angle_gamma 90.00
loop_
_atom_site_label
_atom_site_fract_x
_atom_site_fract_y
_atom_site_fract_z
Sr1 0.000 0.000 0.000
Au1 0.000 0.000 0.500
Au2 0.250 0.250 0.250
Cl1 0.250 0.250 0.750
```

---

Which one sits at the top of the stability order? one) does.

---

one) Sr2AuCl: single point on PBEsol structure, SCAN.

The structure in CIF format:
```
data_Sr2AuCl
_chemical_formula_sum 'Sr8 Au4 Cl4'
_space_group_name_H-M_alt 'F m -3 m'
_space_group_IT_number 225
_space_group_name_Hall '-F 4 2 3'
_cell_length_a 7.661
_cell_length_b 7.661
_cell_length_c 7.661
_cell_angle_alpha 90.00
_cell_angle_beta 90.00
_cell_angle_gamma 90.00
loop_
_atom_site_label
_atom_site_fract_x
_atom_site_fract_y
_atom_site_fract_z
Sr1 0.250 0.250 0.250
Au1 0.000 0.000 0.000
Cl1 0.000 0.000 0.500
```

---

two) Sr2AuCl: single point on PBEsol structure, SCAN.

The structure in CIF format:
```
data_Sr2AuCl
_chemical_formula_sum 'Sr4 Au2 Cl2'
_space_group_name_H-M_alt 'I m m 2'
_space_group_IT_number 44
_cell_length_a 3.894
_cell_length_b 3.994
_cell_length_c 15.664
_cell_angle_alpha 90.00
_cell_angle_beta 90.00
_cell_angle_gamma 90.00
loop_
_space_group_symop_operation_xyz
'x,y,z'
'-x,-y,z'
'-x,y,z'
'x,-y,z'
'x+1/2,y+1/2,z+1/2'
'-x+1/2,-y+1/2,z+1/2'
'-x+1/2,y+1/2,z+1/2'
'x+1/2,-y+1/2,z+1/2'
loop_
_atom_site_label
_atom_site_fract_x
_atom_site_fract_y
_atom_site_fract_z
Sr1 0.000 0.000 0.000
Sr2 0.000 0.500 0.264
Au1 0.000 0.500 0.852
Cl1 0.000 0.000 0.595
```

---

three) Sr2AuCl: single point on PBEsol structure, SCAN.

The structure in CIF format:
```
data_Sr2AuCl
_chemical_formula_sum 'Sr6 Au3 Cl3'
_space_group_name_H-M_alt 'R -3 m'
_space_group_IT_number 166
_space_group_name_Hall '-R 3 2"'
_cell_length_a 4.2906
_cell_length_b 4.2906
_cell_length_c 23.0483
_cell_angle_alpha 90.00
_cell_angle_beta 90.00
_cell_angle_gamma 120.00
loop_
_atom_site_label
_atom_site_fract_x
_atom_site_fract_y
_atom_site_fract_z
Sr1 0.0000 0.0000 0.2436
Au1 0.0000 0.0000 0.5000
Cl1 0.0000 0.0000 0.0000
```

---

Which one sits at the top of the stability order? three) does.

---

one) TaAu2Cl: single point on PBEsol structure, SCAN.

The structure in CIF format:
```
data_TaAu2Cl
_chemical_formula_sum 'Ta1 Au2 Cl1'
_space_group_name_H-M_alt 'P 4/m m m'
_space_group_IT_number 123
_space_group_name_Hall '-P 4 2'
_cell_length_a 5.062
_cell_length_b 5.062
_cell_length_c 2.828
_cell_angle_alpha 90.00
_cell_angle_beta 90.00
_cell_angle_gamma 90.00
loop_
_atom_site_label
_atom_site_fract_x
_atom_site_fract_y
_atom_site_fract_z
Ta1 0.000 0.000 0.000
Au1 0.000 0.500 0.500
Cl1 0.500 0.500 0.000
```

---

two) TaAu2Cl: single point on PBEsol structure, SCAN.

The structure in CIF format:
```
data_TaAu2Cl
_chemical_formula_sum 'Ta1 Au2 Cl1'
_space_group_name_H-M_alt 'P 4 m m'
_space_group_IT_number 99
_cell_length_a 2.916
_cell_length_b 2.916
_cell_length_c 8.685
_cell_angle_alpha 90.00
_cell_angle_beta 90.00
_cell_angle_gamma 90.00
loop_
_space_group_symop_operation_xyz
'x,y,z'
'-y,x,z'
'-x,-y,z'
'y,-x,z'
'-x,y,z'
'y,x,z'
'x,-y,z'
'-y,-x,z'
loop_
_atom_site_label
_atom_site_fract_x
_atom_site_fract_y
_atom_site_fract_z
Ta1 0.000 0.000 0.000
Au1 0.000 0.000 0.454
Au2 0.500 0.500 0.220
Cl1 0.500 0.500 0.814
```

---

three) TaAu2Cl: single point on PBEsol structure, SCAN.

The structure in CIF format:
```
data_TaAu2Cl
_chemical_formula_sum 'Ta1 Au2 Cl1'
_space_group_name_H-M_alt 'P m m m'
_space_group_IT_number 47
_cell_length_a 2.893
_cell_length_b 4.554
_cell_length_c 5.259
_cell_angle_alpha 90.00
_cell_angle_beta 90.00
_cell_angle_gamma 90.00
loop_
_space_group_symop_operation_xyz
'x,y,z'
'-x,-y,-z'
'-x,-y,z'
'x,y,-z'
'x,-y,-z'
'-x,y,z'
'-x,y,-z'
'x,-y,z'
loop_
_atom_site_label
_atom_site_fract_x
_atom_site_fract_y
_atom_site_fract_z
Ta1 0.000 0.000 0.000
Au1 0.000 0.500 0.500
Au2 0.500 0.000 0.500
Cl1 0.500 0.500 0.000
```

---

Which one sits at the top of the stability order? two) does.

---

one) TaAuCl2: single point on PBEsol structure, SCAN.

The structure in CIF format:
```
data_TaAuCl2
_chemical_formula_sum 'Ta3 Au3 Cl6'
_space_group_name_H-M_alt 'R 3 m'
_space_group_IT_number 160
_space_group_name_Hall 'R 3 -2"'
_cell_length_a 3.2416
_cell_length_b 3.2416
_cell_length_c 25.2050
_cell_angle_alpha 90.00
_cell_angle_beta 90.00
_cell_angle_gamma 120.00
loop_
_atom_site_label
_atom_site_fract_x
_atom_site_fract_y
_atom_site_fract_z
Ta1 0.0000 0.0000 0.0000
Au1 0.0000 0.0000 0.2546
Cl1 0.0000 0.0000 0.5153
Cl2 0.0000 0.0000 0.7332
```

---

two) TaAuCl2: single point on PBEsol structure, SCAN.

The structure in CIF format:
```
data_TaAuCl2
_chemical_formula_sum 'Ta1 Au1 Cl2'
_space_group_name_H-M_alt 'P m m m'
_space_group_IT_number 47
_cell_length_a 2.939
_cell_length_b 4.417
_cell_length_c 5.365
_cell_angle_alpha 90.00
_cell_angle_beta 90.00
_cell_angle_gamma 90.00
loop_
_space_group_symop_operation_xyz
'x,y,z'
'-x,-y,-z'
'-x,-y,z'
'x,y,-z'
'x,-y,-z'
'-x,y,z'
'-x,y,-z'
'x,-y,z'
loop_
_atom_site_label
_atom_site_fract_x
_atom_site_fract_y
_atom_site_fract_z
Ta1 0.000 0.000 0.000
Au1 0.500 0.000 0.500
Cl1 0.000 0.500 0.500
Cl2 0.500 0.500 0.000
```

---

Which one sits at the top of the stability order? one) does.